A plane-wave DFT calculation with GGA-PBE was carried out for NiHg2Br after structural relaxation.

Values from the calculation:
Total magnetic moment, μB/atom: 0.0002
Electronic total energy, eV/atom: -1.73
SG: I-42d, No. 122
Distance to the lowest polymorph of the same formula, eV per formula unit: 0.94

Cell lengths 5.523, 5.523, 8.786 Å; angles 71.68, 71.68, 90.00 degrees
Sites, in units of the cell vectors:
1 Ni 0.500 0.500 0.000
2 Ni 0.250 0.750 0.500
3 Br 0.000 0.000 0.000
4 Br 0.750 0.250 0.500
5 Hg 0.228 0.625 0.250
6 Hg 0.522 0.125 0.250
7 Hg 0.875 0.772 0.750
8 Hg 0.375 0.478 0.750



A plane-wave DFT calculation with GGA-PBE was carried out for Ho3Mn5S12 after structural relaxation.

Values from the calculation:
Total magnetic moment, μB/atom: 1.0008
Electronic total energy, eV/atom: -6.51
SG: Ia-3d, No. 230

Cell lengths 12.892, 12.892, 12.892 Å; angles 109.47, 109.47, 109.47 degrees
Site moments in Bohr magnetons follow the coordinates.
Sites, in units of the cell vectors:
1 S 0.326 0.532 0.409  -0.02
2 S 0.084 0.174 0.207  -0.02
3 S 0.532 0.326 0.909  -0.02
4 S 0.826 0.916 0.293  -0.02
5 S 0.968 0.377 0.293  -0.02
6 S 0.084 0.909 0.377  -0.02
7 S 0.091 0.174 0.468  -0.02
8 S 0.326 0.793 0.416  -0.02
9 S 0.623 0.591 0.916  -0.02
10 S 0.968 0.591 0.174  -0.02
11 S 0.909 0.826 0.532  -0.02
12 S 0.916 0.826 0.793  -0.02
13 S 0.793 0.326 0.916  -0.02
14 S 0.707 0.123 0.032  -0.02
15 S 0.591 0.968 0.674  -0.02
16 S 0.174 0.091 0.968  -0.02
17 S 0.123 0.707 0.532  -0.02
18 S 0.207 0.674 0.084  -0.02
19 S 0.468 0.674 0.091  -0.02
20 S 0.623 0.032 0.207  -0.02
21 S 0.532 0.207 0.123  -0.02
22 S 0.877 0.293 0.468  -0.02
23 S 0.123 0.416 0.091  -0.02
24 S 0.416 0.293 0.326  -0.02
25 S 0.468 0.793 0.877  -0.02
26 S 0.674 0.468 0.591  -0.02
27 S 0.584 0.707 0.674  -0.02
28 S 0.793 0.468 0.377  -0.02
29 S 0.826 0.909 0.032  -0.02
30 S 0.091 0.916 0.123  -0.02
31 S 0.409 0.032 0.326  -0.02
32 S 0.674 0.207 0.584  -0.02
33 S 0.416 0.123 0.591  -0.02
34 S 0.207 0.532 0.623  -0.02
35 S 0.591 0.623 0.416  -0.02
36 S 0.377 0.968 0.793  -0.02
37 S 0.584 0.877 0.409  -0.02
38 S 0.032 0.409 0.826  -0.02
39 S 0.377 0.409 0.084  -0.02
40 S 0.909 0.084 0.877  -0.02
41 S 0.032 0.623 0.707  -0.02
42 S 0.293 0.416 0.826  -0.02
43 S 0.916 0.091 0.623  -0.02
44 S 0.174 0.084 0.707  -0.02
45 S 0.409 0.377 0.584  -0.02
46 S 0.293 0.877 0.968  -0.02
47 S 0.877 0.584 0.909  -0.02
48 S 0.707 0.584 0.174  -0.02
49 Mn 0.125 0.750 0.375  3.68
50 Mn 0.875 0.625 0.750  3.68
51 Mn 0.625 0.875 0.250  3.68
52 Mn 0.250 0.875 0.125  3.68
53 Mn 0.000 0.500 0.000  3.51
54 Mn 0.000 0.500 0.500  3.51
55 Mn 0.375 0.125 0.750  3.68
56 Mn 0.500 0.500 0.500  3.51
57 Mn 0.250 0.375 0.625  3.68
58 Mn 0.000 0.000 0.500  3.51
59 Mn 0.500 0.000 0.500  3.51
60 Mn 0.125 0.375 0.250  3.68
61 Mn 0.750 0.625 0.375  3.68
62 Mn 0.750 0.125 0.875  3.68
63 Mn 0.875 0.250 0.625  3.68
64 Mn 0.000 0.000 0.000  3.51
65 Mn 0.500 0.000 0.000  3.51
66 Mn 0.375 0.250 0.125  3.68
67 Mn 0.625 0.750 0.875  3.68
68 Mn 0.500 0.500 0.000  3.51
69 Ho 0.375 0.750 0.625  0.13
70 Ho 0.250 0.625 0.875  0.13
71 Ho 0.750 0.875 0.625  0.13
72 Ho 0.250 0.125 0.375  0.13
73 Ho 0.625 0.375 0.750  0.13
74 Ho 0.625 0.250 0.375  0.13
75 Ho 0.125 0.250 0.875  0.13
76 Ho 0.375 0.625 0.250  0.13
77 Ho 0.875 0.125 0.250  0.13
78 Ho 0.750 0.375 0.125  0.13
79 Ho 0.875 0.750 0.125  0.13
80 Ho 0.125 0.875 0.750  0.13



A plane-wave DFT calculation with GGA-PBE was carried out for WBr3 after structural relaxation.

Values from the calculation:
Total magnetic moment, μB/atom: 0.0005
Electronic total energy, eV/atom: -4.26
SG: R-3m, No. 166
Distance to the lowest polymorph of the same formula, eV per formula unit: 1.32

Cell lengths 9.919, 9.919, 9.919 Å; angles 19.27, 19.27, 19.27 degrees
Sites, in units of the cell vectors:
1 Br 0.272 0.272 0.272
2 Br 0.728 0.728 0.728
3 Br 0.500 0.500 0.500
4 W 0.000 0.000 0.000



A plane-wave DFT calculation with GGA-PBE was carried out for LaSmCu after structural relaxation.

Values from the calculation:
Total magnetic moment, μB/atom: 0.0000
Electronic total energy, eV/atom: -4.53
SG: P3m1, No. 156
Distance to the lowest polymorph of the same formula, eV per formula unit: 0.44
DFT formation energy, kJ/mol of formula units: 14

Cell lengths 3.741, 3.741, 7.146 Å; angles 90.00, 90.00, 120.00 degrees
Sites, in units of the cell vectors:
1 Cu 0.667 0.333 0.339
2 Sm 0.333 0.667 0.616
3 La 0.000 0.000 0.045



A plane-wave DFT calculation with GGA-PBE was carried out for FeW2Br after structural relaxation.

Values from the calculation:
Total magnetic moment, μB/atom: 0.7495
Electronic total energy, eV/atom: -7.80
SG: F-43m, No. 216
Distance to the lowest polymorph of the same formula, eV per formula unit: 2.60

Cell lengths 4.505, 4.505, 4.505 Å; angles 60.00, 60.00, 60.00 degrees
Site moments in Bohr magnetons follow the coordinates.
Sites, in units of the cell vectors:
1 Br 0.500 0.500 0.500  0.07
2 Fe 0.750 0.750 0.750  2.64
3 W 0.250 0.250 0.250  0.19
4 W 0.000 0.000 0.000  0.04



A plane-wave DFT calculation with GGA-PBE was carried out for AcCd2Rh2 after structural relaxation.

Values from the calculation:
Total magnetic moment, μB/atom: 0.0000
Electronic total energy, eV/atom: -4.52
SG: I4/mmm, No. 139
Distance to the lowest polymorph of the same formula, eV per formula unit: 0.00
DFT formation energy, kJ/mol of formula units: -190

Cell lengths 4.287, 4.287, 6.845 Å; angles 108.25, 108.25, 90.00 degrees
Sites, in units of the cell vectors:
1 Rh 0.603 0.603 0.206
2 Rh 0.397 0.397 0.794
3 Cd 0.250 0.750 0.500
4 Cd 0.750 0.250 0.500
5 Ac 0.000 0.000 0.000